No. 1
Here is Si2NiPb after structural relaxation from OQMD via LeMat-Bulk. Energies are from PBE.

Calculated values
The total magnetization is 0.0 μB/f.u. The raw total energy is -4.4428 eV/atom.

```
Si2NiPb
1.0
0.0000 3.2890 3.2890
3.2890 0.0000 3.2890
3.2890 3.2890 0.0000
Si Ni Pb
2 1 1
direct
0.0000 0.0000 0.0000
0.2500 0.2500 0.2500
0.5000 0.5000 0.5000
0.7500 0.7500 0.7500
```

No. 2
Here is Zr2SiNi2Pb after structural relaxation from OQMD via LeMat-Bulk. Energies are from PBE.

Calculated values
The total magnetization is 0.0 μB/f.u. The raw total energy is -6.5948 eV/atom.

```
Zr2SiNi2Pb
1.0
10.4849 0.0000 0.0000
0.0000 3.8560 0.0000
-3.7395 0.0000 10.7358
Zr Si Ni Pb
8 4 8 4
direct
0.0000 0.0000 0.0000
0.0191 0.0000 0.3250
0.2692 0.5000 0.5096
0.4172 0.0000 0.7559
0.6746 0.5000 0.9416
0.7381 0.5000 0.2640
0.8251 0.0000 0.5008
0.9683 0.5000 0.7383
0.1082 0.0000 0.6074
0.1842 0.5000 0.9782
0.2257 0.5000 0.7409
0.9175 0.5000 0.1385
0.1404 0.5000 0.1691
0.1887 0.0000 0.8554
0.3822 0.5000 0.9288
0.4507 0.0000 0.5350
0.5501 0.5000 0.6872
0.5773 0.0000 0.3114
0.7905 0.0000 0.0985
0.9940 0.5000 0.4889
0.3096 0.0000 0.2787
0.5146 0.0000 0.0712
0.5903 0.5000 0.4724
0.7437 0.0000 0.7553
```

No. 3
Here is Sm5NiPb3 after structural relaxation from OQMD via LeMat-Bulk. Energies are from PBE.

Calculated values
The total magnetization is 0.1 μB/f.u. The raw total energy is -4.9997 eV/atom.

```
Sm5NiPb3
1.0
9.3740 0.0000 0.0000
-4.6870 8.1181 0.0000
0.0000 0.0000 6.8688
Sm Ni Pb
10 2 6
direct
0.0000 0.2400 0.2500
0.0000 0.7600 0.7500
0.2400 0.0000 0.2500
0.2400 0.2400 0.7500
0.3333 0.6667 0.0000
0.3333 0.6667 0.5000
0.6667 0.3333 0.0000
0.6667 0.3333 0.5000
0.7600 0.0000 0.7500
0.7600 0.7600 0.2500
0.0000 0.0000 0.0000
0.0000 0.0000 0.5000
0.0000 0.3995 0.7500
0.0000 0.6005 0.2500
0.3995 0.0000 0.7500
0.3995 0.3995 0.2500
0.6005 0.0000 0.2500
0.6005 0.6005 0.7500
```

No. 4
Here is Sm2NiPb after structural relaxation from OQMD via LeMat-Bulk. Energies are from PBE.

Calculated values
The total magnetization is 0.0 μB/f.u. The raw total energy is -5.0223 eV/atom.

```
Sm2NiPb
1.0
4.4268 0.0000 0.0000
0.0000 2.0527 5.7255
0.0000 -2.0527 5.7255
Sm Ni Pb
2 1 1
direct
0.0000 0.0000 0.0000
0.5000 0.2945 0.2945
0.5000 0.5542 0.5542
0.0000 0.7143 0.7143
```

No. 5
Here is Sm2NiPb6 after structural relaxation from OQMD via LeMat-Bulk. Energies are from PBE.

Calculated values
The total magnetization is 0.0 μB/f.u. The raw total energy is -4.3874 eV/atom.

```
Sm2NiPb6
1.0
2.2726 -11.7706 0.0000
2.2726 11.7706 0.0000
0.0000 0.0000 4.6727
Sm Ni Pb
2 1 6
direct
0.1804 0.8196 0.0000
0.8196 0.1804 0.0000
0.5000 0.5000 0.5000
0.0702 0.9298 0.5000
0.2970 0.7030 0.5000
0.4310 0.5690 0.0000
0.5690 0.4310 0.0000
0.7030 0.2970 0.5000
0.9298 0.0702 0.5000
```

No. 6
Here is TbSmNi2Pb after structural relaxation from OQMD via LeMat-Bulk. Energies are from PBE.

Calculated values
The total magnetization is 0.0 μB/f.u. The raw total energy is -5.3297 eV/atom.

```
TbSmNi2Pb
1.0
3.7158 0.0000 0.0000
0.0000 2.0017 7.1743
0.0000 -2.0017 7.1743
Tb Sm Ni Pb
1 1 2 1
direct
0.0000 0.0000 0.0000
0.0000 0.7216 0.7216
0.5000 0.1569 0.1569
0.5000 0.5604 0.5604
0.5000 0.3622 0.3622
```

The highest raw total energy belongs to which entry?
Sm2NiPb6